[1]
The following is a GGA-PBE calculation of a geometry-optimized Tb3NiTeCl structure, from Alexandria.

Summary:
The calculation puts the density of states at the Fermi level at 0.71 states/eV per atom.

a = 8.4289 Å, b = 4.0637 Å, c = 9.6878 Å
α = 90.00°, β = 97.67°, γ = 90.00°
With the nearest neighbours (Å) after each atom.
Element x y z (fractional)
Tb 0.1288 0.2500 0.3188  3 Ni 2.76-2.85
Tb 0.1482 0.2500 0.9040  2 Cl 2.70, 1 Ni 2.95
Tb 0.2997 0.7500 0.6173  1 Cl 2.85, 2 Ni 2.86, 1 Te 3.18
Tb 0.7003 0.2500 0.3827  1 Cl 2.85, 2 Ni 2.86, 1 Te 3.18
Tb 0.8518 0.7500 0.0960  2 Cl 2.70, 1 Ni 2.95
Tb 0.8712 0.7500 0.6812  3 Ni 2.76-2.85
Ni 0.0589 0.2500 0.5985  6 Tb 2.76-2.95, 2 Ni 2.87
Ni 0.9411 0.7500 0.4015  6 Tb 2.76-2.95, 2 Ni 2.87
Te 0.4084 0.7500 0.3157  5 Tb 3.11-3.19
Te 0.5916 0.2500 0.6843  5 Tb 3.11-3.19
Cl 0.3606 0.7500 0.9134  3 Tb 2.70-2.85
Cl 0.6394 0.2500 0.0866  3 Tb 2.70-2.85

---

[2]
The following is a GGA-PBE calculation of a geometry-optimized TcNiCl structure, from Alexandria.

Summary:
The calculation puts the density of states at the Fermi level at 1.10 states/eV per atom.

a = 6.6308 Å, b = 6.2935 Å, c = 2.9017 Å
α = 83.62°, β = 70.60°, γ = 25.78°
With the nearest neighbours (Å) after each atom.
Element x y z (fractional)
Tc 0.0000 0.0000 0.0000  2 Ni 2.45, 2 Cl 2.54
Ni 0.6621 0.6621 0.3379  2 Tc 2.45, 2 Cl 2.49
Cl 0.3285 0.3285 0.6715  2 Ni 2.49, 2 Tc 2.54

---

[3]
The following is a GGA-PBE calculation of a geometry-optimized TcNi3Cl structure, from Alexandria.

Summary:
The calculation puts the density of states at the Fermi level at 0.50 states/eV per atom.

a = 4.1461 Å, b = 4.1461 Å, c = 4.1461 Å
α = 90.00°, β = 90.00°, γ = 90.00°
With the nearest neighbours (Å) after each atom.
Element x y z (fractional)
Tc 0.0000 0.0000 0.0000  12 Ni 2.93
Ni 0.0000 0.5000 0.5000  2 Cl 2.07
Ni 0.5000 0.0000 0.5000  2 Cl 2.07
Ni 0.5000 0.5000 0.0000  2 Cl 2.07
Cl 0.5000 0.5000 0.5000  6 Ni 2.07

---

[4]
The following is a GGA-PBE calculation of a geometry-optimized TcNiCl structure, from Alexandria.

Summary:
The calculation puts the density of states at the Fermi level at 0.95 states/eV per atom.

a = 2.8957 Å, b = 2.8957 Å, c = 5.8394 Å
α = 90.00°, β = 90.00°, γ = 120.00°
With the nearest neighbours (Å) after each atom.
Element x y z (fractional)
Tc 0.0000 0.0000 0.0000  3 Ni 2.51, 3 Cl 2.59
Ni 0.3333 0.6667 0.6799  3 Tc 2.51, 3 Cl 2.60
Cl 0.6667 0.3333 0.3389  3 Tc 2.59, 3 Ni 2.60, 6 Cl 2.90

---

[5]
The following is a GGA-PBE calculation of a geometry-optimized TcNiCl4 structure, from Alexandria.

Summary:
The calculation puts the density of states at the Fermi level at 1.80 states/eV per atom.

a = 5.7746 Å, b = 5.7746 Å, c = 5.7746 Å
α = 60.00°, β = 60.00°, γ = 60.00°
With the nearest neighbours (Å) after each atom.
Element x y z (fractional)
Tc 0.0000 0.0000 0.0000  12 Cl 3.39, 4 Ni 3.54
Ni 0.2500 0.2500 0.2500  12 Cl 3.39, 4 Tc 3.54
Cl 0.1252 0.6249 0.6249  6 Cl 2.89
Cl 0.6249 0.1252 0.6249  6 Cl 2.89
Cl 0.6249 0.6249 0.1252  6 Cl 2.89
Cl 0.6249 0.6249 0.6249  6 Cl 2.89

---

[6]
The following is a GGA-PBE calculation of a geometry-optimized TcNi3Cl structure, from Alexandria.

Summary:
The calculation puts the density of states at the Fermi level at 1.39 states/eV per atom.

a = 4.5347 Å, b = 4.5347 Å, c = 4.5347 Å
α = 90.00°, β = 90.00°, γ = 90.00°
With the nearest neighbours (Å) after each atom.
Element x y z (fractional)
Tc 0.0000 0.0000 0.0000  6 Ni 2.27
Ni 0.0000 0.0000 0.5000  2 Tc 2.27
Ni 0.0000 0.5000 0.0000  2 Tc 2.27
Ni 0.5000 0.0000 0.0000  2 Tc 2.27
Cl 0.5000 0.5000 0.5000  12 Ni 3.21

---

[7]
The following is a GGA-PBE calculation of a geometry-optimized TcNiCl structure, from Alexandria.

Summary:
The calculation puts the density of states at the Fermi level at 0.75 states/eV per atom.

a = 3.9215 Å, b = 3.9215 Å, c = 3.9215 Å
α = 60.00°, β = 60.00°, γ = 60.00°
With the nearest neighbours (Å) after each atom.
Element x y z (fractional)
Tc 0.0000 0.0000 0.0000  4 Cl 2.40
Ni 0.5000 0.5000 0.5000  4 Cl 2.40
Cl 0.2500 0.2500 0.2500  4 Ni 2.40, 4 Tc 2.40

---

[8]
The following is a GGA-PBE calculation of a geometry-optimized TcNiCl6 structure, from Alexandria.

a = 6.7635 Å, b = 6.7635 Å, c = 5.8930 Å
α = 90.36°, β = 90.36°, γ = 120.57°
With the nearest neighbours (Å) after each atom.
Element x y z (fractional)
Tc 0.0000 0.0000 0.0000  6 Cl 2.38
Ni 0.0000 0.0000 0.5000  6 Cl 2.40
Cl 0.0015 0.2785 0.2493  1 Tc 2.38, 1 Ni 2.40
Cl 0.2785 0.0015 0.2493  1 Tc 2.38, 1 Ni 2.40
Cl 0.2802 0.2802 0.7568  1 Tc 2.38, 1 Ni 2.40
Cl 0.7198 0.7198 0.2432  1 Tc 2.38, 1 Ni 2.40
Cl 0.7215 0.9985 0.7507  1 Tc 2.38, 1 Ni 2.40
Cl 0.9985 0.7215 0.7507  1 Tc 2.38, 1 Ni 2.40

---

[9]
The following is a GGA-PBE calculation of a geometry-optimized Tc4NiCl structure, from Alexandria.

Summary:
The calculation puts the density of states at the Fermi level at 1.52 states/eV per atom.

a = 5.1357 Å, b = 5.1357 Å, c = 5.1357 Å
α = 60.00°, β = 60.00°, γ = 60.00°
With the nearest neighbours (Å) after each atom.
Element x y z (fractional)
Tc 0.3755 0.3755 0.3755  6 Tc 2.56-2.58
Tc 0.3755 0.3755 0.8734  6 Tc 2.56-2.58
Tc 0.3755 0.8734 0.3755  6 Tc 2.56-2.58
Tc 0.8734 0.3755 0.3755  6 Tc 2.56-2.58
Ni 0.0000 0.0000 0.0000  12 Tc 3.01, 4 Cl 3.14
Cl 0.7500 0.7500 0.7500  12 Tc 3.01, 4 Ni 3.14

---

[10]
The following is a GGA-PBE calculation of a geometry-optimized TcNiCl structure, from Alexandria.

Summary:
The calculation puts the density of states at the Fermi level at 0.34 states/eV per atom.

a = 4.0588 Å, b = 4.0588 Å, c = 4.0588 Å
α = 60.00°, β = 60.00°, γ = 60.00°
With the nearest neighbours (Å) after each atom.
Element x y z (fractional)
Tc 0.0000 0.0000 0.0000  4 Cl 2.49, 4 Ni 2.49
Ni 0.2500 0.2500 0.2500  4 Tc 2.49
Cl 0.7500 0.7500 0.7500  4 Tc 2.49

---

[11]
The following is a GGA-PBE calculation of a geometry-optimized Tc3NiCl structure, from Alexandria.

Summary:
The calculation puts the density of states at the Fermi level at 1.31 states/eV per atom.

a = 4.5699 Å, b = 4.5699 Å, c = 4.5699 Å
α = 90.00°, β = 90.00°, γ = 90.00°
With the nearest neighbours (Å) after each atom.
Element x y z (fractional)
Tc 0.0000 0.0000 0.5000  2 Ni 2.28
Tc 0.0000 0.5000 0.0000  2 Ni 2.28
Tc 0.5000 0.0000 0.0000  2 Ni 2.28
Ni 0.0000 0.0000 0.0000  6 Tc 2.28
Cl 0.5000 0.5000 0.5000  12 Tc 3.23

---

[12]
The following is a GGA-PBE calculation of a geometry-optimized TcNiCl structure, from Alexandria.

Summary:
The calculation puts the density of states at the Fermi level at 0.62 states/eV per atom.

a = 6.5135 Å, b = 6.5135 Å, c = 6.5135 Å
α = 154.70°, β = 154.70°, γ = 36.08°
With the nearest neighbours (Å) after each atom.
Element x y z (fractional)
Tc 0.0000 0.0000 0.0000  4 Ni 2.48, 4 Cl 2.64
Ni 0.6171 0.6171 0.0000  4 Tc 2.48
Cl 0.3630 0.3630 0.0000  4 Tc 2.64, 4 Cl 2.85

---

[13]
The following is a GGA-PBE calculation of a geometry-optimized Tc3NiCl structure, from Alexandria.

Summary:
The calculation puts the density of states at the Fermi level at 0.66 states/eV per atom.

a = 4.2893 Å, b = 4.2893 Å, c = 4.2893 Å
α = 90.00°, β = 90.00°, γ = 90.00°
With the nearest neighbours (Å) after each atom.
Element x y z (fractional)
Tc 0.0000 0.0000 0.5000  2 Cl 2.14
Tc 0.0000 0.5000 0.0000  2 Cl 2.14
Tc 0.5000 0.0000 0.0000  2 Cl 2.14
Ni 0.5000 0.5000 0.5000  12 Tc 3.03
Cl 0.0000 0.0000 0.0000  6 Tc 2.14

---

no.,ΔE_f (raw) (eV per atom)
1,-0.96
2,0.50
3,0.93
4,0.31
5,1.33
6,1.37
7,1.04
8,-0.64
9,1.00
10,0.71
11,1.79
12,0.40
13,1.23